Record 1
Entry from Alexandria: a relaxed Cu3PdAu7 crystal (PBE).

DOS(E_F) (states/eV per cell): 2.9
Calculated formation energy (meV/atom): 24

a b c (Å): 5.6807 5.6807 6.8228
angles (deg): 90.00 90.00 120.00
Positions (direct):
Cu  0.0186  0.5093  0.0000
Cu  0.4907  0.5093  0.0000
Cu  0.4907  0.9814  0.0000
Pd  0.3333  0.6667  0.3135
Au  0.1657  0.3315  0.6795
Au  0.1657  0.8343  0.6795
Au  0.3314  0.1657  0.3029
Au  0.6667  0.3333  0.7016
Au  0.6685  0.8343  0.6795
Au  0.8343  0.1657  0.3029
Au  0.8343  0.6686  0.3029

Record 2
Entry from Alexandria: a relaxed InPd5Au5 crystal (PBE).

DOS(E_F) (states/eV per cell): 3.0
Calculated formation energy (meV/atom): -167

a b c (Å): 5.5790 5.5892 6.8691
angles (deg): 76.25 76.05 73.29
Positions (direct):
In  0.0000  0.0000  0.0000
Pd  0.0000  0.5000  0.0000
Pd  0.1466  0.6685  0.3403
Pd  0.2956  0.8179  0.6713
Pd  0.7044  0.1821  0.3287
Pd  0.8534  0.3315  0.6597
Au  0.2168  0.1582  0.3131
Au  0.3560  0.3012  0.6797
Au  0.5000  0.5000  0.0000
Au  0.6440  0.6988  0.3203
Au  0.7832  0.8418  0.6869

Record 3
Entry from Alexandria: a relaxed ThGa2Pd crystal (PBE).

DOS(E_F) (states/eV per cell): 2.0
Calculated formation energy (meV/atom): -520

a b c (Å): 4.2495 4.2495 4.6295
angles (deg): 90.00 90.00 90.00
Positions (direct):
Th  0.0000  0.0000  0.0000
Ga  0.0000  0.5000  0.5000
Ga  0.5000  0.0000  0.5000
Pd  0.5000  0.5000  0.0000

Record 4
Entry from Alexandria: a relaxed CuRe3 crystal (PBE).

DOS(E_F) (states/eV per cell): 4.0
Calculated formation energy (meV/atom): 171

a b c (Å): 2.7492 2.7492 8.8791
angles (deg): 90.00 90.00 120.00
Positions (direct):
Cu  0.0000  0.0000  0.0000
Re  0.0000  0.0000  0.5000
Re  0.3333  0.6667  0.2486
Re  0.3333  0.6667  0.7514

Which value of DOS(E_F) does entry 4 give? 4.0 states/eV per cell

Please write out number 4 again, unchanged.
Entry from Alexandria: a relaxed CuRe3 crystal (PBE).

DOS(E_F) (states/eV per cell): 4.0
Calculated formation energy (meV/atom): 171

a b c (Å): 2.7492 2.7492 8.8791
angles (deg): 90.00 90.00 120.00
Positions (direct):
Cu  0.0000  0.0000  0.0000
Re  0.0000  0.0000  0.5000
Re  0.3333  0.6667  0.2486
Re  0.3333  0.6667  0.7514

Number 2 is which compound? InPd5Au5

The lowest calculated formation energy belongs to which entry? ThGa2Pd